Entry 1:
Entry from the Open Quantum Materials Database: a geometry-optimized SmIrSe2O structure (PBE).

a b c (Å): 6.1795 6.1795 7.9605
angles (deg): 92.75 92.75 36.69
Positions (direct):
Ir1 0.5000 0.5000 0.0000
Ir2 0.0000 0.0000 0.5000
O1 0.3276 0.3276 0.0618
O2 0.6724 0.6724 0.9382
Se1 0.0516 0.0516 0.1965
Se2 0.3600 0.3600 0.4877
Se3 0.6400 0.6400 0.5123
Se4 0.9484 0.9484 0.8035
Sm1 0.7789 0.7789 0.1940
Sm2 0.2211 0.2211 0.8060

calculated total energy: -6.63 eV/atom

Entry 2:
Entry from the Open Quantum Materials Database: a geometry-optimized Sr2IrSeO6 structure (PBE).

a b c (Å): 6.1469 6.1469 5.6551
angles (deg): 117.31 117.31 51.30
Site moments in Bohr magnetons follow the coordinates.
Positions (direct):
Ir1 0.0000 0.0000 0.0000  0.66
O1 0.7585 0.2436 0.2668  0.07
O2 0.2436 0.7585 0.2668  0.06
O3 0.8056 0.8056 0.3036  0.01
O4 0.1944 0.1944 0.6964  0.01
O5 0.7564 0.2415 0.7332  0.06
O6 0.2415 0.7564 0.7332  0.07
Se1 0.0000 0.0000 0.5000  -0.01
Sr1 0.3085 0.3085 0.3073  0.00
Sr2 0.6915 0.6915 0.6927  0.00

calculated total energy: -5.96 eV/atom

> The highest calculated total energy belongs to which entry?

Sr2IrSeO6